1.
VASP calculation (PBE) on a relaxed CrHW2 crystal.

abc: 5.8710 5.8710 5.8710
angles: 90.00 90.00 90.00
Space group Fm-3m (No. 225)
One atom of each set of equivalent atoms:
Cr1 0.0000 0.0000 0.0000
H1 0.0000 0.0000 0.5000
W1 0.2500 0.2500 0.2500

Properties
- Energy above the most stable polymorph in this dataset: 0.2417 eV per atom
- Density of states at the Fermi level: 16.8 states/eV per cell

---

2.
VASP calculation (PBE) on a relaxed NaAc2RhN2 crystal.

abc: 6.9460 7.5569 4.4809
angles: 90.00 90.00 90.00
Space group Pnnm (No. 58)
One atom of each set of equivalent atoms:
Na1 0.0000 0.0000 0.0000
Ac1 0.1287 0.2519 0.5000
Rh1 0.0000 0.5000 0.0000
N1 0.2064 0.8952 0.5000

Properties
- Formation energy from raw total energies: -0.4860 eV per atom

---

3.
VASP calculation (PBE) on a relaxed Cs2SnPtBr6 crystal.

abc: 7.8660 7.8660 11.1120
angles: 90.00 90.00 90.00
Space group I4/mmm (No. 139)
One atom of each set of equivalent atoms:
Cs1 0.0000 0.5000 0.2500
Sn1 0.0000 0.0000 0.0000
Pt1 0.0000 0.0000 0.5000
Br1 0.0000 0.0000 0.2619
Br2 0.2395 0.2395 0.5000

Properties
- Density of states at the Fermi level: 6.9 states/eV per cell
- Formation energy from raw total energies: -0.9804 eV per atom

---

4.
VASP calculation (PBE) on a relaxed LiTaCu2Se4 crystal.

abc: 8.2215 8.2299 11.0328
angles: 90.00 90.00 90.00
Space group Fmm2 (No. 42)
One atom of each set of equivalent atoms:
Li1 0.0000 0.0000 0.0000
Ta1 0.0000 0.0000 0.5006
Cu1 0.2500 0.2500 0.2503
Se1 0.0000 0.2393 0.3707
Se2 0.2398 0.0000 0.6304

Properties
- Formation energy from raw total energies: -0.5661 eV per atom

---

5.
VASP calculation (PBE) on a relaxed CuPBr2 crystal.

abc: 6.8783 6.8783 6.8783
angles: 90.00 90.00 90.00
Space group F-43m (No. 216)
One atom of each set of equivalent atoms:
Cu1 0.0000 0.0000 0.0000
P1 0.2500 0.2500 0.7500
Br1 0.0000 0.0000 0.5000
Br2 0.2500 0.2500 0.2500

Properties
- Energy above the most stable polymorph in this dataset: 1.0595 eV per atom
- Density of states at the Fermi level: 13.4 states/eV per cell
- Formation energy from raw total energies: 0.9146 eV per atom

---

6.
VASP calculation (PBE) on a relaxed LiMnMo2 crystal.

abc: 5.2357 8.3949 2.5985
angles: 90.00 90.00 90.00
Space group Cmmm (No. 65)
One atom of each set of equivalent atoms:
Li1 0.0000 0.0000 0.0000
Mn1 0.0000 0.5000 0.0000
Mo1 0.2500 0.2500 0.5000

Properties
- Energy above the most stable polymorph in this dataset: 0.0955 eV per atom
- Density of states at the Fermi level: 8.9 states/eV per cell

---

7.
VASP calculation (PBE) on a relaxed La2Pr4NdCd2 crystal.

abc: 6.3925 6.8888 8.4692
angles: 67.06 80.91 62.56
Space group P-1 (No. 2)
One atom of each set of equivalent atoms:
La1 0.1957 0.0137 0.3290
Pr1 0.3018 0.9665 0.8826
Pr2 0.4016 0.5187 0.7275
Nd1 0.0000 0.5000 0.5000
Cd1 0.1323 0.5501 0.0924

Properties
- Density of states at the Fermi level: 12.3 states/eV per cell

---

8.
VASP calculation (PBE) on a relaxed HfMnNb3 crystal.

abc: 4.6362 4.6362 4.6362
angles: 90.00 90.00 90.00
Space group Pm-3m (No. 221)
One atom of each set of equivalent atoms:
Hf1 0.0000 0.0000 0.0000
Mn1 0.5000 0.5000 0.5000
Nb1 0.0000 0.5000 0.5000

Properties
- Energy above the most stable polymorph in this dataset: 0.0000 eV per atom
- Density of states at the Fermi level: 5.9 states/eV per cell

---

Record order is preserved below.
Energy: -8.87; -6.08; -3.16; -5.05; -2.30; -7.81; -4.00; -9.29 eV/atom